1.
The following is a GGA-PBE calculation of a relaxed Sc2PPb crystal, from the Alexandria database.

Results
Calculated volume ... 22.9 Å³/atom
Space-group type ... No. 122
Formation enthalpy at 0 K ... -0.60 eV/atom
Polymorph energy (0 for the lowest one) ... 385 meV/atom
Crystal system ... tetragonal
Spin magnetization ... 0.00 Bohr magnetons per cell
E_tot ... -6.05 eV per atom

Unit cell a=7.470 b=7.470 c=6.220 alpha=53.09 beta=53.09 gamma=90.00
Fractional coordinates of all 8 atoms:
Pb: 0.000 0.000 0.000
Pb: 0.750 0.250 0.500
Sc: 0.581 0.125 0.250
Sc: 0.169 0.625 0.250
Sc: 0.375 0.419 0.750
Sc: 0.875 0.831 0.750
P: 0.500 0.500 0.000
P: 0.250 0.750 0.500



2.
The following is a GGA-PBE calculation of a relaxed Y2ScW crystal, from the Alexandria database.

Results
Calculated volume ... 24.4 Å³/atom
Space-group type ... No. 38
Formation enthalpy at 0 K ... 0.35 eV/atom
Polymorph energy (0 for the lowest one) ... 53 meV/atom
Crystal system ... orthorhombic
Spin magnetization ... 0.00 Bohr magnetons per cell
E_tot ... -7.70 eV per atom

Unit cell a=4.964 b=3.193 c=6.352 alpha=75.43 beta=90.00 gamma=90.00
Fractional coordinates of all 4 atoms:
Sc: 0.000 0.678 0.518
W: 0.500 0.569 0.739
Y: 0.000 0.955 0.963
Y: 0.500 0.297 0.280



Question: What is the E_tot in the second record?
Answer: -7.70 eV per atom



Question: What is the formula in the second record?
Answer: Y2ScW